[1]
This record from Alexandria via LeMat-Bulk describes crystalline Sr3CaRh at its relaxed geometry. The functional is GGA-PBE.

Summary:
**SG**: Fd-3m, No. 227
**Energy above the lowest structure with this stoichiometry**: 249 meV/atom
**Energy of formation**: 0.24 eV/f.u.

Lattice parameters (Å, degrees): 11.177 11.177 11.177 60.00 60.00 60.00
Sites, in units of the cell vectors:
Sr  0.686  0.314  0.314
Sr  0.936  0.564  0.564
Sr  0.564  0.564  0.936
Sr  0.564  0.936  0.936
Sr  0.936  0.564  0.936
Sr  0.686  0.314  0.686
Sr  0.564  0.936  0.564
Sr  0.936  0.936  0.564
Sr  0.314  0.686  0.314
Sr  0.314  0.686  0.686
Sr  0.314  0.314  0.686
Sr  0.686  0.686  0.314
Ca  0.125  0.125  0.125
Ca  0.125  0.625  0.125
Ca  0.625  0.125  0.125
Ca  0.125  0.125  0.625
Rh  0.625  0.625  0.625
Rh  0.625  0.125  0.625
Rh  0.125  0.625  0.625
Rh  0.625  0.625  0.125



[2]
This record from Alexandria via LeMat-Bulk describes crystalline Tb5Dy3Y4 at its relaxed geometry. The functional is GGA-PBE.

Summary:
**SG**: C2/m, No. 12
**Energy above the lowest structure with this stoichiometry**: 214 meV/atom
**Energy of formation**: 2.79 eV/f.u.

Lattice parameters (Å, degrees): 5.883 8.562 9.606 105.71 72.17 69.90
Last column: magnetic moment on the atom in μB.
Sites, in units of the cell vectors:
Tb  0.626  0.949  0.800  0.01
Tb  0.500  0.500  0.500  0.15
Tb  0.213  0.460  0.114  0.01
Tb  0.787  0.540  0.886  0.01
Tb  0.374  0.051  0.200  0.01
Dy  0.522  0.687  0.268  0.01
Dy  0.000  0.500  0.500  0.16
Dy  0.478  0.313  0.732  0.01
Y  0.858  0.222  0.062  0.00
Y  0.165  0.048  0.622  0.00
Y  0.835  0.952  0.378  0.00
Y  0.142  0.778  0.938  0.00



[3]
This record from Alexandria via LeMat-Bulk describes crystalline Ni6MoPd12 at its relaxed geometry. The functional is GGA-PBE.

Summary:
**SG**: Im-3, No. 204
**Energy of formation**: 3.21 eV/f.u.

Lattice parameters (Å, degrees): 7.148 7.148 7.148 109.47 109.47 109.47
Last column: magnetic moment on the atom in μB.
Sites, in units of the cell vectors:
Ni  0.364  0.500  0.864  0.80
Ni  0.636  0.500  0.136  0.80
Ni  0.500  0.864  0.364  0.80
Ni  0.500  0.136  0.636  0.80
Ni  0.864  0.364  0.500  0.80
Ni  0.136  0.636  0.500  0.80
Mo  0.000  0.000  0.000  -0.32
Pd  0.270  0.090  0.819  0.12
Pd  0.270  0.451  0.181  0.12
Pd  0.730  0.549  0.819  0.12
Pd  0.730  0.910  0.181  0.12
Pd  0.090  0.819  0.270  0.12
Pd  0.451  0.181  0.270  0.12
Pd  0.549  0.819  0.730  0.12
Pd  0.910  0.181  0.730  0.12
Pd  0.819  0.270  0.090  0.12
Pd  0.181  0.270  0.451  0.12
Pd  0.819  0.730  0.549  0.12
Pd  0.181  0.730  0.910  0.12



[4]
This record from Alexandria via LeMat-Bulk describes crystalline CeHoMgTl at its relaxed geometry. The functional is GGA-PBE.

Summary:
**SG**: F-43m, No. 216
**Energy of formation**: -0.57 eV/f.u.

Lattice parameters (Å, degrees): 5.403 5.403 5.403 60.00 60.00 60.00
Last column: magnetic moment on the atom in μB.
Sites, in units of the cell vectors:
Mg  0.500  0.500  0.500  0.01
Tl  0.000  0.000  0.000  -0.01
Ho  0.250  0.250  0.250  0.08
Ce  0.750  0.750  0.750  0.80



[5]
This record from Alexandria via LeMat-Bulk describes crystalline La3Ho2Tm3 at its relaxed geometry. The functional is GGA-PBE.

Summary:
**SG**: Immm, No. 71
**Energy above the lowest structure with this stoichiometry**: 6 meV/atom
**Energy of formation**: 0.28 eV/f.u.

Lattice parameters (Å, degrees): 4.970 5.139 10.915 103.62 103.16 90.00
Sites, in units of the cell vectors:
La  0.625  0.625  0.249
La  0.375  0.375  0.751
La  0.500  0.000  0.000
Ho  0.748  0.248  0.497
Ho  0.252  0.752  0.503
Tm  0.128  0.128  0.256
Tm  0.000  0.500  0.000
Tm  0.872  0.872  0.744



[6]
This record from Alexandria via LeMat-Bulk describes crystalline NbVCr2H at its relaxed geometry. The functional is GGA-PBE.

Summary:
**SG**: P4/mmm, No. 123
**E_tot**: -41.38 eV/cell

Lattice parameters (Å, degrees): 4.206 4.206 3.258 90.00 90.00 90.00
Sites, in units of the cell vectors:
Cr  0.000  0.500  0.000
Cr  0.500  0.000  0.000
Nb  0.500  0.500  0.500
H  0.000  0.000  0.000
V  0.000  0.000  0.500